The following is a meta-GGA SCAN calculation of a PBEsol-optimized structure of YTlCr2, from Alexandria.

```
4
Lattice="-3.677 -1.819 0.624 1.271 -3.309 -2.157 2.785 0.678 4.593" Properties=species:S:1:pos:R:3 pbc="T T T"
Cr 0.000 0.000 0.000
Cr -1.048 -1.852 2.225
Tl -1.203 -2.564 -0.767
Y 1.426 -2.598 0.835
```

Calculated values
Calculated total energy (eV for the cell shown): -136.26
SG: I-4m2 (119)
V (Å³ per atom): 19.6
Energy relative to the elements (meV/atom): 178


The following is a meta-GGA SCAN calculation of a PBEsol-optimized structure of Mg2BeRu, from Alexandria.

```
4
Lattice="2.823 0.000 0.000 1.412 2.445 0.000 1.412 0.815 8.708" Properties=species:S:1:pos:R:3 pbc="T T T"
Ru 2.823 1.630 4.354
Mg 1.412 0.815 2.175
Mg 4.235 2.445 6.533
Be 0.000 0.000 0.000
```

Calculated values
Calculated total energy (eV for the cell shown): -47.79
SG: R-3m (166)
V (Å³ per atom): 15.0
Energy relative to the elements (meV/atom): 333


The following is a meta-GGA SCAN calculation of a PBEsol-optimized structure of ReTe3, from Alexandria.

```
8
Lattice="-0.265 0.505 3.172 -1.546 -8.929 1.293 8.559 3.239 0.198" Properties=species:S:1:pos:R:3 pbc="T T T"
Re 1.624 -4.494 3.307
Re 5.125 -0.691 1.356
Te 6.341 1.186 2.796
Te 5.722 -2.389 3.314
Te 2.914 -0.111 2.717
Te 0.408 -6.371 1.867
Te 1.027 -2.795 1.350
Te 3.835 -5.074 1.947
```

Calculated values
E above lowest polymorph (eV per atom): 0.0000
Formation energy without anion corrections (eV/atom): 0.28
Calculated total energy (eV for the cell shown): -363.45
SG: P6_3/mmc (194)
V (Å³ per atom): 29.2


The following is a meta-GGA SCAN calculation of a PBEsol-optimized structure of Fe6NiPt, from Alexandria.

```
32
Lattice="-4.591 -3.702 2.313 0.751 0.705 -6.251 6.807 -8.530 -0.143" Properties=species:S:1:pos:R:3 pbc="T T T"
Fe 4.484 -6.760 -4.208
Fe 2.341 -10.233 -2.071
Fe 5.651 -7.591 -2.117
Fe 1.824 -8.954 0.056
Fe 4.342 -8.671 -0.019
Fe 3.650 -9.154 -4.169
Fe 1.483 -5.764 -2.041
Fe 3.977 -5.442 -2.136
Fe 2.607 -6.573 0.060
Fe 1.143 -2.573 -4.138
Fe -1.011 -6.085 -1.946
Fe 2.349 -3.402 -2.101
Fe -1.517 -4.768 0.126
Fe 0.979 -4.532 0.095
Fe 0.360 -4.955 -4.142
Fe -1.920 -1.499 -1.969
Fe 0.626 -1.294 -2.011
Fe -0.683 -2.374 0.087
Fe 3.403 -4.265 -0.072
Fe 1.988 -6.996 -4.176
Fe 0.618 -8.126 -1.980
Fe 0.000 0.000 0.000
Fe -1.375 -2.856 -4.063
Fe -2.684 -3.936 -1.965
Ni 2.794 -4.682 -4.142
Ni 0.173 -6.845 0.060
Ni 5.062 -6.343 -0.107
Ni 1.745 -2.186 -0.037
Pt -0.612 -0.420 -4.066
Pt -3.228 -2.578 0.128
Pt 3.146 -7.848 -2.076
Pt -0.180 -3.680 -2.006
```

Calculated values
Calculated total energy (eV for the cell shown): -785.82
SG: Cmmm (65)
V (Å³ per atom): 11.8
Energy relative to the elements (meV/atom): -164